# 1
{"formula": "SbMoO2", "functional": "GGA+U", "state": "relaxed", "total_magnetization_mub_per_fu": 2.0, "total_energy_ha_per_atom": -0.2142, "dos_ef_per_ev_cell": 2.755, "lattice_angstrom": [[-2.9070, 2.9070, 4.6056], [2.9070, -2.9070, 4.6056], [2.9070, 2.9070, -4.6056]], "species": ["Sb", "Sb", "Mo", "Mo", "O", "O", "O", "O"], "fractional_positions": [[0.0000, 0.0000, 0.0000], [0.7500, 0.2500, 0.5000], [0.2500, 0.7500, 0.5000], [0.5000, 0.5000, 0.0000], [0.2731, 0.6250, 0.1481], [0.3750, 0.5231, 0.6481], [0.4769, 0.1250, 0.8519], [0.8750, 0.7269, 0.3519]]}

# 2
{"formula": "SbMoO3", "functional": "GGA+U", "state": "relaxed", "total_magnetization_mub_per_fu": 4.6, "total_energy_ha_per_atom": -0.2139, "dos_ef_per_ev_cell": 2.911, "lattice_angstrom": [[4.0537, 0.0000, 0.0000], [0.0000, 4.0537, 0.0000], [0.0000, 0.0000, 4.0537]], "species": ["Sb", "Mo", "O", "O", "O"], "fractional_positions": [[0.0000, 0.0000, 0.0000], [0.5000, 0.5000, 0.5000], [0.0000, 0.0000, 0.5000], [0.0000, 0.5000, 0.0000], [0.5000, 0.0000, 0.0000]]}

# 3
{"formula": "Sb3MoO", "functional": "GGA+U", "state": "relaxed", "total_magnetization_mub_per_fu": 3.2, "polymorph_energy_ev_per_atom": 0.000, "dos_ef_per_ev_cell": 1.279, "lattice_angstrom": [[4.7737, 0.0000, 0.0000], [0.0000, 4.7737, 0.0000], [0.0000, 0.0000, 4.7737]], "species": ["Sb", "Sb", "Sb", "Mo", "O"], "fractional_positions": [[0.0000, 0.0000, 0.5000], [0.0000, 0.5000, 0.0000], [0.5000, 0.0000, 0.0000], [0.5000, 0.5000, 0.5000], [0.0000, 0.0000, 0.0000]]}

# 4
{"formula": "Sb3MoO", "functional": "GGA+U", "state": "relaxed", "total_magnetization_mub_per_fu": 0.0, "polymorph_energy_ev_per_atom": 0.812, "dos_ef_per_ev_cell": 3.856, "lattice_angstrom": [[5.1432, 0.0000, 0.0000], [0.0000, 5.1432, 0.0000], [0.0000, 0.0000, 5.1432]], "species": ["Sb", "Sb", "Sb", "Mo", "O"], "fractional_positions": [[0.0000, 0.0000, 0.5000], [0.0000, 0.5000, 0.0000], [0.5000, 0.0000, 0.0000], [0.0000, 0.0000, 0.0000], [0.5000, 0.5000, 0.5000]]}

# 5
{"formula": "Sb4MoO12", "functional": "GGA+U", "state": "relaxed", "total_magnetization_mub_per_fu": 2.0, "total_energy_ha_per_atom": -0.2277, "lattice_angstrom": [[-3.8902, 3.8902, 3.6883], [3.8902, -3.8902, 3.6883], [3.8902, 3.8902, -3.6883]], "species": ["Sb", "Sb", "Sb", "Sb", "Mo", "O", "O", "O", "O", "O", "O", "O", "O", "O", "O", "O", "O"], "fractional_positions": [[0.0000, 0.0000, 0.5000], [0.0000, 0.5000, 0.0000], [0.5000, 0.0000, 0.0000], [0.5000, 0.5000, 0.5000], [0.0000, 0.0000, 0.0000], [0.0577, 0.8255, 0.2321], [0.1745, 0.4066, 0.2321], [0.1745, 0.9423, 0.7679], [0.3097, 0.3097, 0.6195], [0.3097, 0.6903, 0.0000], [0.4066, 0.1745, 0.2321], [0.5934, 0.8255, 0.7679], [0.6903, 0.3097, 0.0000], [0.6903, 0.6903, 0.3805], [0.8255, 0.0577, 0.2321], [0.8255, 0.5934, 0.7679], [0.9423, 0.1745, 0.7679]]}

# 6
{"formula": "SbMoO3", "functional": "GGA+U", "state": "relaxed", "total_magnetization_mub_per_fu": 2.7, "total_energy_ha_per_atom": -0.2261, "dos_ef_per_ev_cell": 3.193, "lattice_angstrom": [[4.0556, 0.0000, 0.0000], [0.0000, 4.0556, 0.0000], [0.0000, 0.0000, 4.0556]], "species": ["Sb", "Mo", "O", "O", "O"], "fractional_positions": [[0.0000, 0.0000, 0.0000], [0.5000, 0.5000, 0.5000], [0.0000, 0.5000, 0.5000], [0.5000, 0.0000, 0.5000], [0.5000, 0.5000, 0.0000]]}

# 7
{"formula": "SbMo2O6", "functional": "GGA+U", "state": "relaxed", "total_magnetization_mub_per_fu": 3.0, "total_energy_ha_per_atom": -0.2488, "lattice_angstrom": [[9.1430, 0.0000, 0.0000], [-4.5715, 7.9180, 0.0000], [0.0000, 0.0000, 4.6690]], "species": ["Sb", "Sb", "Sb", "Mo", "Mo", "Mo", "Mo", "Mo", "Mo", "O", "O", "O", "O", "O", "O", "O", "O", "O", "O", "O", "O", "O", "O", "O", "O", "O", "O"], "fractional_positions": [[0.0000, 0.0000, 0.0000], [0.3333, 0.6667, 0.4842], [0.6667, 0.3333, 0.5158], [0.0000, 0.3505, 0.0000], [0.0000, 0.6495, 0.0000], [0.3505, 0.0000, 0.0000], [0.3505, 0.3505, 0.0000], [0.6495, 0.0000, 0.0000], [0.6495, 0.6495, 0.0000], [0.1148, 0.2295, 0.7940], [0.1148, 0.8852, 0.7940], [0.1170, 0.5585, 0.7294], [0.2266, 0.4531, 0.2461], [0.2266, 0.7734, 0.2461], [0.2295, 0.1148, 0.2060], [0.4415, 0.5585, 0.7294], [0.4415, 0.8830, 0.7294], [0.4531, 0.2266, 0.7539], [0.5469, 0.7734, 0.2461], [0.5585, 0.1170, 0.2706], [0.5585, 0.4415, 0.2706], [0.7705, 0.8852, 0.7940], [0.7734, 0.2266, 0.7539], [0.7734, 0.5469, 0.7539], [0.8830, 0.4415, 0.2706], [0.8852, 0.1148, 0.2060], [0.8852, 0.7705, 0.2060]]}

# 8
{"formula": "ScSb2MoO", "functional": "GGA+U", "state": "relaxed", "total_magnetization_mub_per_fu": 5.5, "total_energy_ha_per_atom": -0.1519, "dos_ef_per_ev_cell": 4.907, "lattice_angstrom": [[5.3869, 0.0000, 0.0000], [0.0000, 5.3869, 0.0000], [0.0000, 0.0000, 5.5072]], "species": ["Sc", "Sb", "Sb", "Mo", "O"], "fractional_positions": [[0.0000, 0.0000, 0.0000], [0.0000, 0.5000, 0.0000], [0.5000, 0.0000, 0.0000], [0.0000, 0.0000, 0.5000], [0.5000, 0.5000, 0.5000]]}

# 9
{"formula": "SmSbMo2O9", "functional": "GGA+U", "state": "relaxed", "total_magnetization_mub_per_fu": 0.0, "total_energy_ha_per_atom": -0.2639, "dos_ef_per_ev_cell": 0.000, "lattice_angstrom": [[6.5985, -7.2942, 0.0000], [6.5985, 7.2942, 0.0000], [-6.0689, 0.0000, 9.1737]], "species": ["Sm", "Sm", "Sm", "Sm", "Sb", "Sb", "Sb", "Sb", "Mo", "Mo", "Mo", "Mo", "Mo", "Mo", "Mo", "Mo", "O", "O", "O", "O", "O", "O", "O", "O", "O", "O", "O", "O", "O", "O", "O", "O", "O", "O", "O", "O", "O", "O", "O", "O", "O", "O", "O", "O", "O", "O", "O", "O", "O", "O", "O", "O"], "fractional_positions": [[0.1247, 0.8753, 0.7500], [0.3267, 0.6733, 0.2500], [0.6733, 0.3267, 0.7500], [0.8753, 0.1247, 0.2500], [0.3522, 0.3777, 0.4622], [0.3777, 0.3522, 0.9622], [0.6223, 0.6478, 0.0378], [0.6478, 0.6223, 0.5378], [0.0482, 0.2588, 0.0246], [0.0587, 0.4355, 0.6941], [0.2588, 0.0482, 0.5246], [0.4355, 0.0587, 0.1941], [0.5645, 0.9413, 0.8059], [0.7412, 0.9518, 0.4754], [0.9413, 0.5645, 0.3059], [0.9518, 0.7412, 0.9754], [0.0179, 0.6928, 0.4935], [0.0469, 0.2218, 0.1723], [0.0680, 0.0973, 0.8983], [0.0908, 0.5572, 0.2510], [0.0973, 0.0680, 0.3983], [0.1261, 0.7039, 0.0661], [0.1403, 0.6202, 0.7237], [0.2114, 0.3716, 0.7994], [0.2198, 0.4054, 0.0769], [0.2218, 0.0469, 0.6723], [0.2961, 0.8739, 0.4339], [0.3072, 0.9821, 0.0065], [0.3716, 0.2114, 0.2994], [0.3798, 0.8597, 0.7763], [0.4054, 0.2198, 0.5769], [0.4237, 0.5410, 0.4014], [0.4428, 0.9092, 0.2490], [0.4590, 0.5763, 0.0986], [0.5410, 0.4237, 0.9014], [0.5572, 0.0908, 0.7510], [0.5763, 0.4590, 0.5986], [0.5946, 0.7802, 0.4231], [0.6202, 0.1403, 0.2237], [0.6284, 0.7886, 0.7006], [0.6928, 0.0179, 0.9935], [0.7039, 0.1261, 0.5661], [0.7782, 0.9531, 0.3277], [0.7802, 0.5946, 0.9231], [0.7886, 0.6284, 0.2006], [0.8597, 0.3798, 0.2763], [0.8739, 0.2961, 0.9339], [0.9027, 0.9320, 0.6017], [0.9092, 0.4428, 0.7490], [0.9320, 0.9027, 0.1017], [0.9531, 0.7782, 0.8277], [0.9821, 0.3072, 0.5065]]}

# 10
{"formula": "SnSbMoO6", "functional": "GGA+U", "state": "relaxed", "total_magnetization_mub_per_fu": 1.3, "total_energy_ha_per_atom": -0.2393, "dos_ef_per_ev_cell": 3.456, "lattice_angstrom": [[4.8379, 0.0000, 0.0000], [0.0000, 4.8379, 0.0000], [0.0000, 0.0000, 9.8833]], "species": ["Sn", "Sn", "Sb", "Sb", "Mo", "Mo", "O", "O", "O", "O", "O", "O", "O", "O", "O", "O", "O", "O"], "fractional_positions": [[0.0000, 0.0000, 0.0000], [0.5000, 0.5000, 0.5000], [0.0000, 0.0000, 0.3345], [0.5000, 0.5000, 0.8345], [0.0000, 0.0000, 0.6663], [0.5000, 0.5000, 0.1663], [0.1895, 0.1895, 0.8326], [0.1936, 0.1936, 0.5060], [0.2001, 0.2001, 0.1641], [0.2999, 0.7001, 0.6641], [0.3064, 0.6936, 0.0060], [0.3105, 0.6895, 0.3326], [0.6895, 0.3105, 0.3326], [0.6936, 0.3064, 0.0060], [0.7001, 0.2999, 0.6641], [0.7999, 0.7999, 0.1641], [0.8064, 0.8064, 0.5060], [0.8105, 0.8105, 0.8326]]}

# 11
{"formula": "SrSbMoO6", "functional": "GGA+U", "state": "relaxed", "total_magnetization_mub_per_fu": 1.0, "total_energy_ha_per_atom": -0.2462, "dos_ef_per_ev_cell": 0.000, "lattice_angstrom": [[5.3900, 0.0000, 0.0000], [-2.6950, 4.6679, 0.0000], [0.0000, 0.0000, 10.7471]], "species": ["Sr", "Sr", "Sb", "Sb", "Mo", "Mo", "O", "O", "O", "O", "O", "O", "O", "O", "O", "O", "O", "O"], "fractional_positions": [[0.0000, 0.0000, 0.0000], [0.0000, 0.0000, 0.5000], [0.3333, 0.6667, 0.2500], [0.6667, 0.3333, 0.7500], [0.3333, 0.6667, 0.7500], [0.6667, 0.3333, 0.2500], [0.0007, 0.3853, 0.6463], [0.0007, 0.6155, 0.8537], [0.3853, 0.0007, 0.1463], [0.3853, 0.3845, 0.3537], [0.3845, 0.3853, 0.8537], [0.3845, 0.9993, 0.6463], [0.6155, 0.0007, 0.3537], [0.6155, 0.6147, 0.1463], [0.6147, 0.6155, 0.6463], [0.6147, 0.9993, 0.8537], [0.9993, 0.3845, 0.1463], [0.9993, 0.6147, 0.3537]]}

# 12
{"formula": "Ta2SbMoO", "functional": "GGA+U", "state": "relaxed", "total_magnetization_mub_per_fu": 0.0, "total_energy_ha_per_atom": -0.2235, "dos_ef_per_ev_cell": 5.149, "lattice_angstrom": [[4.8660, 0.0000, 0.0000], [0.0000, 4.8660, 0.0000], [0.0000, 0.0000, 5.0416]], "species": ["Ta", "Ta", "Sb", "Mo", "O"], "fractional_positions": [[0.0000, 0.5000, 0.0000], [0.5000, 0.0000, 0.0000], [0.0000, 0.0000, 0.5000], [0.0000, 0.0000, 0.0000], [0.5000, 0.5000, 0.5000]]}